(1)
Li3AlGe | PBE | relaxed

Output
E: -57.2 eV per cell
total moment: 0.00 μB per formula unit
energy of formation: -0.0375 eV/atom

Cell lengths 9.7517, 6.9630, 5.5536 Å; angles 90.00, 90.00, 90.00 degrees
Space group Ima2 (No. 46)
One atom of each set of equivalent atoms:
Li: 0.0305 0.2470 0.0000 (multiplicity 8)
Li: 0.2500 0.0700 0.2537 (multiplicity 4)
Al: 0.2500 0.7503 0.0044 (multiplicity 4)
Ge: 0.2500 0.0652 0.7527 (multiplicity 4)

(2)
NaY3Tl | PBE | relaxed

Output
E: -21.2 eV per cell
total moment: 1.16 μB per formula unit
energy of formation: 0.3757 eV/atom

Cell lengths 5.8431, 5.8431, 5.8431 Å; angles 90.00, 90.00, 90.00 degrees
Space group Pm-3m (No. 221)
One atom of each set of equivalent atoms:
Na: 0.0000 0.0000 0.0000 (multiplicity 1)
Y: 0.0000 0.5000 0.5000 (multiplicity 3)
Tl: 0.5000 0.5000 0.5000 (multiplicity 1)

(3)
HoAg3Pd6 | PBE | relaxed

Output
E: -94.7 eV per cell
total moment: 0.00 μB per formula unit
energy of formation: -0.3067 eV/atom

Cell lengths 8.9159, 4.1688, 9.2012 Å; angles 90.00, 92.62, 90.00 degrees
Space group P2_1/m (No. 11)
One atom of each set of equivalent atoms:
Ho: 0.0676 0.2500 0.3737 (multiplicity 2)
Ag: 0.2513 0.2500 0.0028 (multiplicity 2)
Ag: 0.3428 0.7500 0.8041 (multiplicity 2)
Ag: 0.4464 0.2500 0.6005 (multiplicity 2)
Pd: 0.0487 0.7500 0.9071 (multiplicity 2)
Pd: 0.1437 0.2500 0.6987 (multiplicity 2)
Pd: 0.1601 0.7500 0.1971 (multiplicity 2)
Pd: 0.2481 0.7500 0.5022 (multiplicity 2)
Pd: 0.3624 0.2500 0.2972 (multiplicity 2)
Pd: 0.4535 0.7500 0.0999 (multiplicity 2)

(4)
TlZnAgSb | PBE | relaxed

Output
E: -39.9 eV per cell
total moment: 0.00 μB per formula unit
formation energy from raw total energies: 163 meV per atom

Cell lengths 7.2097, 7.2097, 7.2097 Å; angles 90.00, 90.00, 90.00 degrees
Space group F-43m (No. 216)
One atom of each set of equivalent atoms:
Tl: 0.0000 0.0000 0.0000 (multiplicity 4)
Zn: 0.2500 0.2500 0.7500 (multiplicity 4)
Ag: 0.2500 0.2500 0.2500 (multiplicity 4)
Sb: 0.0000 0.0000 0.5000 (multiplicity 4)

(5)
HoBeCo2 | PBE | relaxed

Output
E: -69.8 eV per cell
total moment: 1.42 μB per formula unit
energy of formation: -0.1843 eV/atom

Cell lengths 3.8629, 3.8629, 14.1326 Å; angles 90.00, 90.00, 120.00 degrees
Space group R-3m (No. 166, hexagonal axes)
One atom of each set of equivalent atoms:
Ho: 0.0000 0.0000 0.0000 (multiplicity 3)
Be: 0.0000 0.0000 0.5000 (multiplicity 3)
Co: 0.0000 0.0000 0.1901 (multiplicity 6)

(6)
Li2PmP | PBE | relaxed

Output
E: -47.9 eV per cell
total moment: 0.00 μB per formula unit
energy of formation: -0.4984 eV/atom

Cell lengths 4.0295, 4.0295, 15.3897 Å; angles 90.00, 90.00, 120.00 degrees
Space group R-3m (No. 166, hexagonal axes)
One atom of each set of equivalent atoms:
Li: 0.0000 0.0000 0.2031 (multiplicity 6)
Pm: 0.0000 0.0000 0.0000 (multiplicity 3)
P: 0.0000 0.0000 0.5000 (multiplicity 3)

(7)
Er5InTc2 | PBE | relaxed

Output
E: -190.9 eV per cell
total moment: 0.00 μB per formula unit
energy of formation: -0.1814 eV/atom

Cell lengths 7.5041, 7.5041, 14.5244 Å; angles 90.00, 90.00, 90.00 degrees
Space group I4/mcm (No. 140)
One atom of each set of equivalent atoms:
Er: 0.0000 0.0000 0.0000 (multiplicity 4)
Er: 0.1734 0.3266 0.1352 (multiplicity 16)
In: 0.0000 0.0000 0.2500 (multiplicity 4)
Tc: 0.1184 0.3816 0.5000 (multiplicity 8)

(8)
NbSiBr3 | PBE | relaxed

Output
E: -17.4 eV per cell
total moment: 4.00 μB per formula unit
formation energy from raw total energies: 629 meV per atom

Cell lengths 5.2315, 5.2315, 5.2315 Å; angles 90.00, 90.00, 90.00 degrees
Space group Pm-3m (No. 221)
One atom of each set of equivalent atoms:
Nb: 0.0000 0.0000 0.0000 (multiplicity 1)
Si: 0.5000 0.5000 0.5000 (multiplicity 1)
Br: 0.0000 0.5000 0.5000 (multiplicity 3)

(9)
TaGa | PBE | relaxed

Output
E: -30.5 eV per cell
total moment: 0.00 μB per formula unit
energy of formation: -0.1941 eV/atom

Cell lengths 3.4984, 3.7800, 5.3050 Å; angles 90.00, 109.27, 90.00 degrees
Space group P2_1/m (No. 11)
One atom of each set of equivalent atoms:
Ta: 0.1592 0.2500 0.3190 (multiplicity 2)
Ga: 0.4230 0.2500 0.8448 (multiplicity 2)

(10)
ZnFe2Co | PBE | relaxed

Output
E: -25.2 eV per cell
total moment: 6.09 μB per formula unit
energy of formation: 0.0340 eV/atom

Cell lengths 2.5824, 2.5824, 7.1356 Å; angles 90.00, 90.00, 90.00 degrees
Space group P4/mmm (No. 123)
One atom of each set of equivalent atoms:
Zn: 0.0000 0.0000 0.0000 (multiplicity 1)
Fe: 0.5000 0.5000 0.2651 (multiplicity 2)
Co: 0.0000 0.0000 0.5000 (multiplicity 1)

(11)
SrTlCl | PBE | relaxed

Output
E: -30.8 eV per cell
total moment: 0.00 μB per formula unit
formation energy from raw total energies: -603 meV per atom

Cell lengths 7.7101, 7.7101, 7.7101 Å; angles 90.00, 90.00, 90.00 degrees
Space group F-43m (No. 216)
One atom of each set of equivalent atoms:
Sr: 0.0000 0.0000 0.0000 (multiplicity 4)
Tl: 0.2500 0.2500 0.2500 (multiplicity 4)
Cl: 0.2500 0.2500 0.7500 (multiplicity 4)

(12)
Li2CaNi2 | PBE | relaxed

Output
E: -33.3 eV per cell
total moment: 0.00 μB per formula unit
energy of formation: 0.1469 eV/atom

Cell lengths 7.2259, 7.2259, 2.9979 Å; angles 90.00, 90.00, 90.00 degrees
Space group P4/mbm (No. 127)
One atom of each set of equivalent atoms:
Li: 0.1595 0.3405 0.0000 (multiplicity 4)
Ca: 0.0000 0.0000 0.5000 (multiplicity 2)
Ni: 0.1237 0.6237 0.5000 (multiplicity 4)